Entry from Alexandria: crystalline Tb6Nd3Th at its relaxed geometry (PBE-GGA).

VASP energy: -46.66 eV/f.u.
ΔE_f: 285 meV/atom

Unit cell a=6.6912 b=6.6912 c=8.8266 alpha=99.20 beta=99.20 gamma=61.49
Element x y z (fractional)
Tb (0.0152, 0.4804, 0.1853)
Tb (0.1679, 0.1679, 0.4947)
Tb (0.4804, 0.0152, 0.1853)
Tb (0.5196, 0.9848, 0.8147)
Tb (0.8321, 0.8321, 0.5053)
Tb (0.9848, 0.5196, 0.8147)
Nd (0.0256, 0.0256, 0.8351)
Nd (0.5000, 0.5000, 0.5000)
Nd (0.9744, 0.9744, 0.1649)
Th (0.5000, 0.5000, 0.0000)

***

Entry from Alexandria: crystalline Tb2NdTh4 at its relaxed geometry (PBE-GGA).

VASP energy: -43.10 eV/f.u.
ΔE_f: 87 meV/atom

Unit cell a=18.2260 b=18.2260 c=3.5682 alpha=90.00 beta=90.00 gamma=168.72
Element x y z (fractional)
Tb (0.2077, 0.7923, 0.0000)
Tb (0.7923, 0.2077, 0.0000)
Nd (0.5000, 0.5000, 0.5000)
Th (0.0733, 0.9267, 0.0000)
Th (0.3594, 0.6406, 0.5000)
Th (0.6406, 0.3594, 0.5000)
Th (0.9267, 0.0733, 0.0000)

***

Entry from Alexandria: crystalline Tb5Nd2Th2 at its relaxed geometry (PBE-GGA).

VASP energy: -45.23 eV/f.u.
ΔE_f: 255 meV/atom

Unit cell a=11.4627 b=11.4627 c=8.0675 alpha=98.74 beta=98.74 gamma=17.52
Element x y z (fractional)
Tb (0.0000, 0.0000, 0.0000)
Tb (0.0905, 0.0905, 0.7292)
Tb (0.3078, 0.3078, 0.4540)
Tb (0.6922, 0.6922, 0.5460)
Tb (0.9095, 0.9095, 0.2708)
Nd (0.1764, 0.1764, 0.1473)
Nd (0.8236, 0.8236, 0.8527)
Th (0.4479, 0.4479, 0.6445)
Th (0.5521, 0.5521, 0.3555)

***

Entry from Alexandria: crystalline Tb3Nd2Th2 at its relaxed geometry (PBE-GGA).

VASP energy: -38.01 eV/f.u.
ΔE_f: 36 meV/atom

Unit cell a=3.6118 b=6.2288 c=10.7763 alpha=84.47 beta=89.98 gamma=73.21
Element x y z (fractional)
Tb (0.0000, 0.0000, 0.0000)
Tb (0.1452, 0.7102, 0.5765)
Tb (0.8548, 0.2898, 0.4235)
Nd (0.4261, 0.1464, 0.7166)
Nd (0.5739, 0.8536, 0.2834)
Th (0.2851, 0.4286, 0.1376)
Th (0.7149, 0.5714, 0.8624)

***

Entry from Alexandria: crystalline Tb15Nd4Th at its relaxed geometry (PBE-GGA).

VASP energy: -95.54 eV/f.u.
ΔE_f: 20 meV/atom

Unit cell a=5.0810 b=5.0810 c=25.2690 alpha=90.00 beta=90.00 gamma=90.00
Element x y z (fractional)
Tb (0.0000, 0.0000, 0.0000)
Tb (0.0000, 0.0000, 0.1994)
Tb (0.0000, 0.0000, 0.3995)
Tb (0.0000, 0.0000, 0.6005)
Tb (0.0000, 0.0000, 0.8006)
Tb (0.0000, 0.5000, 0.0975)
Tb (0.0000, 0.5000, 0.2992)
Tb (0.0000, 0.5000, 0.5000)
Tb (0.0000, 0.5000, 0.7008)
Tb (0.0000, 0.5000, 0.9025)
Tb (0.5000, 0.0000, 0.0975)
Tb (0.5000, 0.0000, 0.2992)
Tb (0.5000, 0.0000, 0.5000)
Tb (0.5000, 0.0000, 0.7008)
Tb (0.5000, 0.0000, 0.9025)
Nd (0.5000, 0.5000, 0.1989)
Nd (0.5000, 0.5000, 0.3997)
Nd (0.5000, 0.5000, 0.6003)
Nd (0.5000, 0.5000, 0.8011)
Th (0.5000, 0.5000, 0.0000)

***

Entry from Alexandria: crystalline Tb10Nd4Th at its relaxed geometry (PBE-GGA).

VASP energy: -67.17 eV/f.u.
ΔE_f: 375 meV/atom

Unit cell a=8.7070 b=8.7070 c=8.7070 alpha=111.83 beta=111.83 gamma=104.85
Element x y z (fractional)
Tb (0.0444, 0.3683, 0.0916)
Tb (0.0472, 0.9556, 0.3239)
Tb (0.2500, 0.7500, 0.5000)
Tb (0.2767, 0.9528, 0.9084)
Tb (0.3683, 0.2767, 0.3239)
Tb (0.6317, 0.7233, 0.6761)
Tb (0.7233, 0.0472, 0.0916)
Tb (0.7500, 0.2500, 0.5000)
Tb (0.9528, 0.0444, 0.6761)
Tb (0.9556, 0.6317, 0.9084)
Nd (0.1682, 0.4383, 0.6065)
Nd (0.4383, 0.8318, 0.2701)
Nd (0.5617, 0.1682, 0.7299)
Nd (0.8318, 0.5617, 0.3935)
Th (0.5000, 0.5000, 0.0000)

***

Entry from Alexandria: crystalline Tb3Nd2Th at its relaxed geometry (PBE-GGA).

VASP energy: -30.08 eV/f.u.
ΔE_f: 128 meV/atom

Unit cell a=7.0201 b=16.2922 c=3.5516 alpha=90.00 beta=90.00 gamma=90.00
Element x y z (fractional)
Tb (0.0000, 0.0000, 0.0000)
Tb (0.2450, 0.3491, 0.0000)
Tb (0.2550, 0.8491, 0.5000)
Tb (0.5000, 0.5000, 0.5000)
Tb (0.7450, 0.1509, 0.5000)
Tb (0.7550, 0.6509, 0.0000)
Nd (0.2493, 0.1552, 0.5000)
Nd (0.2507, 0.6552, 0.0000)
Nd (0.7493, 0.3448, 0.0000)
Nd (0.7507, 0.8448, 0.5000)
Th (0.0000, 0.5000, 0.5000)
Th (0.5000, 0.0000, 0.0000)

***

Entry from Alexandria: crystalline TbNdTh at its relaxed geometry (PBE-GGA).

VASP energy: -14.03 eV/f.u.
ΔE_f: 928 meV/atom

Unit cell a=6.3659 b=6.3659 c=5.7313 alpha=90.00 beta=90.00 gamma=91.48
Element x y z (fractional)
Tb (0.0000, 0.0000, 0.0000)
Tb (0.5000, 0.5000, 0.5000)
Nd (0.1768, 0.1768, 0.5000)
Nd (0.8232, 0.8232, 0.5000)
Th (0.3234, 0.6766, 0.0000)
Th (0.6766, 0.3234, 0.0000)

***

Look up the VASP energy of the fifth one.
-95.54 eV/f.u.

***

What is the VASP energy in the third record?
-45.23 eV/f.u.

***

Which of these has the lowest ΔE_f?
Tb15Nd4Th